# 1
DFT (PBE-GGA) results for crystalline Sr3NbI at its relaxed geometry.

Output
Calculated total energy (eV/atom): -2.83
Space group: Pm-3m (221)
Crystal system: cubic

extended XYZ file:
```
5
Lattice="5.953 0.000 0.000 0.000 5.953 0.000 0.000 0.000 5.953" Properties=species:S:1:pos:R:3 pbc="T T T"
Sr 0.000 0.000 2.976
Sr 0.000 2.976 0.000
Sr 2.976 0.000 0.000
Nb 0.000 0.000 0.000
I 2.976 2.976 2.976
```

=====

# 2
DFT (PBE-GGA) results for crystalline DyIr2Rh at its relaxed geometry.

Output
Energy of formation from the pure elements (eV per atom): 0.17
Energy relative to the lowest polymorph listed for this composition (meV/atom): 623
Space group: Pmma (51)
Crystal system: orthorhombic

extended XYZ file:
```
16
Lattice="5.251 0.000 0.000 0.000 6.847 0.000 0.000 0.000 9.371" Properties=species:S:1:pos:R:3 pbc="T T T"
Dy 1.313 0.000 1.081
Dy 1.313 3.424 2.611
Dy 3.938 0.000 8.290
Dy 3.938 3.424 6.760
Ir 0.000 0.000 4.685
Ir 0.000 3.424 0.000
Ir 1.313 2.122 5.085
Ir 1.313 4.725 5.085
Ir 2.626 0.000 4.685
Ir 2.626 3.424 0.000
Ir 3.938 2.122 4.285
Ir 3.938 4.725 4.285
Rh 1.313 0.000 7.230
Rh 1.313 3.424 7.214
Rh 3.938 0.000 2.140
Rh 3.938 3.424 2.157
```

=====

# 3
DFT (PBE-GGA) results for crystalline LaMnTc at its relaxed geometry.

Output
Energy of formation from the pure elements (eV per atom): 0.19
Energy relative to the lowest polymorph listed for this composition (meV/atom): 99
Space group: P3m1 (156)
Crystal system: trigonal

extended XYZ file:
```
3
Lattice="3.951 0.000 0.000 -1.975 3.422 0.000 0.000 0.000 4.761" Properties=species:S:1:pos:R:3 pbc="T T T"
La 0.000 0.000 0.000
Mn 1.975 1.141 2.240
Tc 0.000 2.281 2.489
```

=====

# 4
DFT (PBE-GGA) results for crystalline MgTe2Os at its relaxed geometry.

Output
Calculated total energy (eV/atom): -4.21
Space group: I-4m2 (119)
Crystal system: tetragonal

extended XYZ file:
```
8
Lattice="4.282 0.000 0.000 0.000 4.282 0.000 0.000 0.000 9.035" Properties=species:S:1:pos:R:3 pbc="T T T"
Mg 0.000 0.000 0.000
Mg 2.141 2.141 4.517
Te 0.000 0.000 4.517
Te 0.000 2.141 2.259
Te 2.141 0.000 6.776
Te 2.141 2.141 0.000
Os 0.000 2.141 6.776
Os 2.141 0.000 2.259
```

=====

# 5
DFT (PBE-GGA) results for crystalline ThBN at its relaxed geometry.

Output
Energy relative to the lowest polymorph listed for this composition (meV/atom): 0
Space group: Cmcm (63)
Crystal system: orthorhombic

extended XYZ file:
```
12
Lattice="3.796 0.000 0.000 0.000 12.303 0.000 0.000 0.000 3.461" Properties=species:S:1:pos:R:3 pbc="T T T"
Th 0.000 1.675 0.865
Th 0.000 10.628 2.596
Th 1.898 4.476 2.596
Th 1.898 7.827 0.865
B 0.000 5.728 0.865
B 0.000 6.575 2.596
B 1.898 0.423 2.596
B 1.898 11.880 0.865
N 0.000 4.198 0.865
N 0.000 8.105 2.596
N 1.898 1.954 2.596
N 1.898 10.349 0.865
```

=====

# 6
DFT (PBE-GGA) results for crystalline ZrScCo2 at its relaxed geometry.

Output
Energy of formation from the pure elements (eV per atom): 0.05
Space group: C2/m (12)
Crystal system: monoclinic

extended XYZ file:
```
8
Lattice="7.753 0.000 0.000 0.000 3.181 0.000 -1.277 0.000 5.373" Properties=species:S:1:pos:R:3 pbc="T T T"
Zr 0.000 0.000 0.000
Zr 3.876 1.591 0.000
Sc -0.639 1.591 2.686
Sc 3.238 0.000 2.686
Co 1.614 1.591 1.322
Co 0.985 0.000 4.051
Co 5.490 0.000 1.322
Co 4.861 1.591 4.051
```